# 1
# Ac5Ni6 (PBE, optimized geometry)
data_Ac5Ni6
_symmetry_space_group_name_H-M 'C m m m'
_symmetry_Int_Tables_number 65
_symmetry_space_group_name_Hall '-C 2 2'
_cell_length_a 4.2452
_cell_length_b 30.6617
_cell_length_c 4.1380
_cell_angle_alpha 90.00
_cell_angle_beta 90.00
_cell_angle_gamma 90.00
loop_
_atom_site_label
_atom_site_type_symbol
_atom_site_fract_x
_atom_site_fract_y
_atom_site_fract_z
_atom_site_occupancy
Ac1 Ac 0.0000 0.0000 0.0000 1
Ac2 Ac 0.0000 0.1981 0.5000 1
Ac3 Ac 0.0000 0.3905 0.0000 1
Ni1 Ni 0.0000 0.0832 0.5000 1
Ni2 Ni 0.0000 0.2747 0.0000 1
Ni3 Ni 0.0000 0.4607 0.5000 1
# volume: 269.31 Å³/f.u.
# M_tot: 0.00 μB per atom
# DFT formation energy: -0.257 eV/atom
# electronic total energy: -116.11 eV per cell
# DOS(E_F): 0.91 states/eV/atom

***

# 2
# HoFeNiP2 (PBE, optimized geometry)
data_HoFeNiP2
_symmetry_space_group_name_H-M 'I -4 m 2'
_symmetry_Int_Tables_number 119
_symmetry_space_group_name_Hall 'I -4 -2'
_cell_length_a 3.8421
_cell_length_b 3.8421
_cell_length_c 9.4829
_cell_angle_alpha 90.00
_cell_angle_beta 90.00
_cell_angle_gamma 90.00
loop_
_atom_site_label
_atom_site_type_symbol
_atom_site_fract_x
_atom_site_fract_y
_atom_site_fract_z
_atom_site_occupancy
Ho1 Ho 0.0000 0.0000 0.0000 1
Fe1 Fe 0.0000 0.5000 0.7500 1
Ni1 Ni 0.0000 0.5000 0.2500 1
P1 P 0.0000 0.0000 0.3747 1
# volume: 69.99 Å³/f.u.
# M_tot: 0.29 μB per atom
# DFT formation energy: -0.961 eV/atom
# electronic total energy: -68.89 eV per cell
# DOS(E_F): 0.45 states/eV/atom

***

# 3
# InHRh3 (PBE, optimized geometry)
data_InHRh3
_symmetry_space_group_name_H-M 'C 1 2/c 1'
_symmetry_Int_Tables_number 15
_symmetry_space_group_name_Hall '-C 2yc'
_cell_length_a 10.8366
_cell_length_b 10.6117
_cell_length_c 4.9610
_cell_angle_alpha 90.00
_cell_angle_beta 101.59
_cell_angle_gamma 90.00
loop_
_atom_site_label
_atom_site_type_symbol
_atom_site_fract_x
_atom_site_fract_y
_atom_site_fract_z
_atom_site_occupancy
In1 In 0.0000 0.1083 0.2500 1
In2 In 0.0000 0.2878 0.7500 1
H1 H 0.1906 0.3264 0.3791 1
Rh1 Rh 0.1079 0.4705 0.4311 1
Rh2 Rh 0.1724 0.0728 0.7359 1
Rh3 Rh 0.2342 0.1876 0.2263 1
# volume: 69.86 Å³/f.u.
# relative energy among the computed polymorphs: 0.202 eV per atom
# M_tot: 0.00 μB per atom
# electronic total energy: -225.21 eV per cell
# DOS(E_F): 1.13 states/eV/atom

***

# 4
# AcNdY6 (PBE, optimized geometry)
data_AcNdY6
_symmetry_space_group_name_H-M 'P -1'
_symmetry_Int_Tables_number 2
_symmetry_space_group_name_Hall '-P 1'
_cell_length_a 6.5810
_cell_length_b 6.5852
_cell_length_c 6.5877
_cell_angle_alpha 96.45
_cell_angle_beta 96.55
_cell_angle_gamma 96.45
loop_
_atom_site_label
_atom_site_type_symbol
_atom_site_fract_x
_atom_site_fract_y
_atom_site_fract_z
_atom_site_occupancy
Ac1 Ac 0.0000 0.0000 0.0000 1
Nd1 Nd 0.5000 0.5000 0.5000 1
Y1 Y 0.0419 0.4576 0.7468 1
Y2 Y 0.2532 0.9579 0.5428 1
Y3 Y 0.4578 0.7467 0.0419 1
# volume: 279.56 Å³/f.u.
# relative energy among the computed polymorphs: 0.000 eV per atom
# M_tot: 0.00 μB per atom
# DFT formation energy: 0.142 eV/atom
# electronic total energy: -46.52 eV per cell
# DOS(E_F): 1.88 states/eV/atom

***

# 5
# BeZn2Rh2 (PBE, optimized geometry)
data_BeZn2Rh2
_symmetry_space_group_name_H-M 'P 4/m b m'
_symmetry_Int_Tables_number 127
_symmetry_space_group_name_Hall '-P 4 2ab'
_cell_length_a 6.5442
_cell_length_b 6.5442
_cell_length_c 3.2175
_cell_angle_alpha 90.00
_cell_angle_beta 90.00
_cell_angle_gamma 90.00
loop_
_atom_site_label
_atom_site_type_symbol
_atom_site_fract_x
_atom_site_fract_y
_atom_site_fract_z
_atom_site_occupancy
Be1 Be 0.0000 0.0000 0.0000 1
Zn1 Zn 0.1353 0.3647 0.0000 1
Rh1 Rh 0.1661 0.6661 0.5000 1
# volume: 68.90 Å³/f.u.
# relative energy among the computed polymorphs: 0.248 eV per atom
# M_tot: 0.00 μB per atom
# DFT formation energy: -0.082 eV/atom
# electronic total energy: -42.77 eV per cell
# DOS(E_F): 0.20 states/eV/atom

***

# 6
# Hf3ScW (PBE, optimized geometry)
data_Hf3ScW
_symmetry_space_group_name_H-M 'P m -3 m'
_symmetry_Int_Tables_number 221
_symmetry_space_group_name_Hall '-P 4 2 3'
_cell_length_a 5.0733
_cell_length_b 5.0733
_cell_length_c 5.0733
_cell_angle_alpha 90.00
_cell_angle_beta 90.00
_cell_angle_gamma 90.00
loop_
_atom_site_label
_atom_site_type_symbol
_atom_site_fract_x
_atom_site_fract_y
_atom_site_fract_z
_atom_site_occupancy
Hf1 Hf 0.0000 0.0000 0.5000 1
Sc1 Sc 0.5000 0.5000 0.5000 1
W1 W 0.0000 0.0000 0.0000 1
# volume: 130.58 Å³/f.u.
# relative energy among the computed polymorphs: 0.000 eV per atom
# M_tot: 0.00 μB per atom
# DFT formation energy: 0.773 eV/atom
# electronic total energy: -45.28 eV per cell
# DOS(E_F): 1.81 states/eV/atom